YSb2TeOs: PBEsol geometry, SCAN.

## Properties
Energy relative to the elements, uncorrected   1.542 eV per atom

Cell lengths 5.517, 5.628, 5.628 Å; angles 90.00, 90.00, 90.00 degrees
Each line ends with the local moment (μB).
Fractional coordinates of all 5 atoms:
Y (0.000, 0.000, 0.000)  0.05
Sb (0.000, 0.000, 0.500)  -0.05
Sb (0.000, 0.500, 0.000)  -0.05
Os (0.500, 0.500, 0.500)  3.03
Te (0.500, 0.000, 0.000)  -0.05

=====

KYO2: PBEsol geometry, SCAN.

## Properties
Energy relative to the elements, uncorrected   -2.860 eV per atom

Cell lengths 5.973, 6.185, 5.973 Å; angles 118.88, 90.00, 118.88 degrees
Fractional coordinates of all 8 atoms:
O (0.955, 0.250, 0.875)
O (0.295, 0.250, 0.375)
O (0.625, 0.750, 0.045)
O (0.125, 0.750, 0.705)
Y (0.250, 0.500, 0.750)
Y (0.000, 0.000, 0.000)
K (0.750, 0.500, 0.250)
K (0.500, 0.000, 0.500)

=====

OsAu2Cl: PBEsol geometry, SCAN.

## Properties
Relative energy among the computed polymorphs   0.14 kJ per mole of atoms
Energy relative to the elements, uncorrected   0.588 eV per atom

Cell lengths 2.892, 2.950, 8.017 Å; angles 90.00, 90.07, 90.00 degrees
Each line ends with the local moment (μB).
Fractional coordinates of all 4 atoms:
Au (0.501, 0.000, 0.729)  0.06
Au (0.499, 0.000, 0.271)  0.06
Os (0.000, 0.500, 0.500)  0.81
Cl (0.500, 0.500, 0.000)  -0.01

=====

ScCu4Sn: PBEsol geometry, SCAN.

## Properties
Calculated formation energy   -0.24 eV per atom

Cell lengths 4.946, 4.946, 4.946 Å; angles 60.00, 60.00, 60.00 degrees
Fractional coordinates of all 6 atoms:
Cu (0.374, 0.875, 0.875)
Cu (0.875, 0.374, 0.875)
Cu (0.875, 0.875, 0.374)
Cu (0.875, 0.875, 0.875)
Sn (0.500, 0.500, 0.500)
Sc (0.250, 0.250, 0.250)

=====

Be2ZnP: PBEsol geometry, SCAN.

## Properties
Calculated formation energy   0.31 eV per atom

Cell lengths 3.126, 3.126, 4.706 Å; angles 90.00, 90.00, 90.00 degrees
Fractional coordinates of all 4 atoms:
Be (0.000, 0.000, 0.770)
Be (0.000, 0.000, 0.230)
P (0.500, 0.500, 0.000)
Zn (0.500, 0.500, 0.500)

=====

CuRhCl2: PBEsol geometry, SCAN.

## Properties
Relative energy among the computed polymorphs   34.19 kJ per mole of atoms
Energy relative to the elements, uncorrected   0.065 eV per atom

Cell lengths 3.131, 4.859, 4.859 Å; angles 71.96, 71.21, 71.21 degrees
Fractional coordinates of all 4 atoms:
Cl (0.745, 0.255, 0.255)
Cl (0.255, 0.745, 0.745)
Rh (0.000, 0.500, 0.500)
Cu (0.500, 0.000, 0.000)

=====

CdSn3As: PBEsol geometry, SCAN.

## Properties
Calculated formation energy   0.62 eV per atom

Cell lengths 5.298, 5.298, 5.298 Å; angles 90.00, 90.00, 90.00 degrees
Fractional coordinates of all 5 atoms:
Sn (0.000, 0.000, 0.500)
Sn (0.000, 0.500, 0.000)
Sn (0.500, 0.000, 0.000)
As (0.000, 0.000, 0.000)
Cd (0.500, 0.500, 0.500)

=====

Tl2FeGePb: PBEsol geometry, SCAN.

## Properties
Calculated formation energy   1.11 eV per atom

Cell lengths 4.913, 5.743, 5.743 Å; angles 90.00, 90.00, 90.00 degrees
Each line ends with the local moment (μB).
Fractional coordinates of all 5 atoms:
Ge (0.500, 0.500, 0.500)  -0.25
Tl (0.000, 0.000, 0.500)  0.00
Tl (0.000, 0.500, 0.000)  0.00
Pb (0.000, 0.000, 0.000)  -0.04
Fe (0.500, 0.000, 0.000)  3.07

=====

Er6Ti4Al43: PBEsol geometry, SCAN.

## Properties
Calculated formation energy   -0.35 eV per atom

Cell lengths 10.954, 10.954, 17.661 Å; angles 90.00, 90.00, 120.00 degrees
Fractional coordinates of all 106 atoms:
Al (0.667, 0.333, 0.625)
Al (0.254, 0.254, 0.529)
Al (0.234, 0.394, 0.663)
Al (0.606, 0.841, 0.663)
Al (0.851, 0.404, 0.750)
Al (0.766, 0.159, 0.837)
Al (0.247, 0.753, 0.000)
Al (0.000, 0.156, 0.884)
Al (0.753, 0.247, 0.000)
Al (0.394, 0.159, 0.163)
Al (0.149, 0.553, 0.750)
Al (0.159, 0.766, 0.837)
Al (0.000, 0.844, 0.384)
Al (0.447, 0.851, 0.250)
Al (0.841, 0.606, 0.663)
Al (0.147, 0.147, 0.750)
Al (0.394, 0.234, 0.663)
Al (0.404, 0.851, 0.750)
Al (0.841, 0.234, 0.163)
Al (0.159, 0.766, 0.663)
Al (0.000, 0.746, 0.529)
Al (0.753, 0.505, 0.000)
Al (0.000, 0.844, 0.116)
Al (0.254, 0.000, 0.471)
Al (0.394, 0.234, 0.837)
Al (0.000, 0.156, 0.616)
Al (0.766, 0.606, 0.337)
Al (0.000, 0.853, 0.750)
Al (0.495, 0.247, 0.000)
Al (0.000, 0.147, 0.250)
Al (0.553, 0.404, 0.250)
Al (0.841, 0.234, 0.337)
Al (0.746, 0.000, 0.971)
Al (0.333, 0.667, 0.125)
Al (0.853, 0.000, 0.750)
Al (0.667, 0.333, 0.125)
Al (0.753, 0.505, 0.500)
Al (0.844, 0.000, 0.116)
Al (0.149, 0.596, 0.250)
Al (0.596, 0.149, 0.250)
Al (0.404, 0.553, 0.250)
Al (0.505, 0.753, 0.500)
Al (0.844, 0.000, 0.384)
Al (0.254, 0.000, 0.029)
Al (0.596, 0.447, 0.750)
Al (0.159, 0.394, 0.337)
Al (0.156, 0.156, 0.116)
Al (0.505, 0.753, 0.000)
Al (0.234, 0.841, 0.163)
Al (0.606, 0.841, 0.837)
Al (0.667, 0.333, 0.375)
Al (0.667, 0.333, 0.875)
Al (0.247, 0.753, 0.500)
Al (0.156, 0.000, 0.616)
Al (0.606, 0.766, 0.337)
Al (0.254, 0.254, 0.971)
Al (0.447, 0.596, 0.750)
Al (0.495, 0.247, 0.500)
Al (0.766, 0.606, 0.163)
Al (0.333, 0.667, 0.375)
Al (0.753, 0.247, 0.500)
Al (0.247, 0.495, 0.500)
Al (0.394, 0.159, 0.337)
Al (0.851, 0.447, 0.250)
Al (0.333, 0.667, 0.875)
Al (0.156, 0.000, 0.884)
Al (0.147, 0.000, 0.250)
Al (0.159, 0.394, 0.163)
Al (0.746, 0.746, 0.471)
Al (0.553, 0.149, 0.750)
Al (0.247, 0.495, 0.000)
Al (0.746, 0.000, 0.529)
Al (0.000, 0.254, 0.471)
Al (0.766, 0.159, 0.663)
Al (0.234, 0.841, 0.337)
Al (0.606, 0.766, 0.163)
Al (0.746, 0.746, 0.029)
Al (0.000, 0.254, 0.029)
Al (0.844, 0.844, 0.616)
Al (0.853, 0.853, 0.250)
Al (0.333, 0.667, 0.625)
Al (0.841, 0.606, 0.837)
Al (0.000, 0.746, 0.971)
Al (0.844, 0.844, 0.884)
Al (0.156, 0.156, 0.384)
Al (0.234, 0.394, 0.837)
Er (0.471, 0.000, 0.596)
Er (0.529, 0.000, 0.404)
Er (0.471, 0.471, 0.096)
Er (0.471, 0.471, 0.404)
Er (0.000, 0.529, 0.404)
Er (0.000, 0.471, 0.904)
Er (0.471, 0.000, 0.904)
Er (0.000, 0.529, 0.096)
Er (0.000, 0.471, 0.596)
Er (0.529, 0.529, 0.904)
Er (0.529, 0.529, 0.596)
Er (0.529, 0.000, 0.096)
Ti (0.727, 0.727, 0.750)
Ti (0.000, 0.727, 0.250)
Ti (0.000, 0.273, 0.750)
Ti (0.000, 0.000, 0.500)
Ti (0.273, 0.000, 0.750)
Ti (0.273, 0.273, 0.250)
Ti (0.727, 0.000, 0.250)
Ti (0.000, 0.000, 0.000)

=====

InRhBr2: PBEsol geometry, SCAN.

## Properties
Relative energy among the computed polymorphs   26.24 kJ per mole of atoms
Energy relative to the elements, uncorrected   -0.030 eV per atom

Cell lengths 3.534, 3.507, 8.804 Å; angles 90.00, 90.00, 120.25 degrees
Each line ends with the local moment (μB).
Fractional coordinates of all 4 atoms:
In (0.500, 0.000, 0.500)  -0.01
Br (0.000, 0.000, 0.194)  0.00
Br (0.000, 0.000, 0.806)  0.00
Rh (0.500, 0.000, 0.000)  0.53

=====

TaPtAu: PBEsol geometry, SCAN.

## Properties
Relative energy among the computed polymorphs   0.00 kJ per mole of atoms
Calculated formation energy   -0.55 eV per atom

Cell lengths 3.407, 3.407, 4.857 Å; angles 110.53, 110.53, 90.00 degrees
Fractional coordinates of all 3 atoms:
Pt (0.669, 0.669, 0.338)
Au (0.002, 0.002, 0.004)
Ta (0.329, 0.329, 0.658)

=====

K2TlPt: PBEsol geometry, SCAN.

## Properties
Relative energy among the computed polymorphs   23.90 kJ per mole of atoms
Calculated formation energy   0.06 eV per atom

Cell lengths 4.508, 4.534, 6.051 Å; angles 112.00, 111.87, 90.00 degrees
Fractional coordinates of all 4 atoms:
K (0.751, 0.751, 0.502)
K (0.249, 0.249, 0.498)
Tl (0.000, 0.500, 0.000)
Pt (0.500, 0.000, 0.000)

=====

Number 1: total moment 3.47 μB per formula unit. Number 2: total moment 0.00 μB per formula unit. Number 3: total moment 0.98 μB per formula unit. Number 4: total moment 0.00 μB per formula unit. Number 5: total moment 0.00 μB per formula unit. Number 6: total moment 0.00 μB per formula unit. Number 7: total moment 0.00 μB per formula unit. Number 8: total moment 2.55 μB per formula unit. Number 9: total moment 0.00 μB per formula unit. Number 10: total moment 0.54 μB per formula unit. Number 11: total moment 0.00 μB per formula unit. Number 12: total moment 0.00 μB per formula unit.